1.
This record from Alexandria via LeMat-Bulk describes crystalline BaAu2S8 at its relaxed geometry. The functional is PBE.

Properties
Calculated volume (Å³ per cell): 294.6
Symmetry: P-1 (2)
Size of the total moment (μB/f.u.): 0.0
Formation energy without anion corrections (eV per formula unit): -3.4
Energy (eV/atom): -4.08

Cell lengths 5.4611, 6.2932, 9.1389 Å; angles 94.86, 90.35, 109.62 degrees
Closest atoms and distances in Å follow each position.
Fractional positions:
Ba1 0.0000 0.0000 0.0000  10 S 3.30-3.69
Au1 0.2246 0.5928 0.3275  4 S 2.41-2.59
Au2 0.7754 0.4072 0.6725  4 S 2.41-2.59
S1 0.1823 0.5602 0.0533  1 S 2.08
S2 0.2148 0.6126 0.6110  1 S 2.06
S3 0.3329 0.1676 0.7060  1 S 2.08
S4 0.4179 0.8831 0.7570  2 S 2.06-2.08
S5 0.5821 0.1169 0.2430  2 S 2.06-2.08
S6 0.6671 0.8324 0.2940  1 S 2.08
S7 0.7852 0.3874 0.3890  1 S 2.06
S8 0.8177 0.4398 0.9467  1 S 2.08

2.
This record from Alexandria via LeMat-Bulk describes crystalline SrZn6 at its relaxed geometry. The functional is PBE.

Properties
Formation energy from the elements (eV/atom): -0.161
Calculated volume (Å³ per cell): 509.1
Symmetry: Pnma (62)
Excess energy over the best structure of this formula in the dataset (meV/atom): 0
Size of the total moment (μB/f.u.): 0.0
Energy (eV/atom): -1.49

Cell lengths 8.5521, 5.4787, 10.8656 Å; angles 90.00, 90.00, 90.00 degrees
Closest atoms and distances in Å follow each position.
Fractional positions:
Sr1 0.2378 0.2500 0.0594  15 Zn 3.12-3.49
Sr2 0.2622 0.7500 0.5594  15 Zn 3.12-3.49
Sr3 0.7378 0.2500 0.4406  15 Zn 3.12-3.49
Sr4 0.7622 0.7500 0.9406  15 Zn 3.12-3.49
Zn1 0.0667 0.0146 0.3107  8 Zn 2.58-2.88
Zn2 0.0667 0.4854 0.3107  8 Zn 2.58-2.88
Zn3 0.0674 0.7500 0.0980  5 Zn 2.66-2.73
Zn4 0.0896 0.2500 0.5217  6 Zn 2.64-2.91
Zn5 0.1393 0.7500 0.8602  6 Zn 2.66-2.91
Zn6 0.1868 0.2500 0.7541  7 Zn 2.63-2.70
Zn7 0.3132 0.7500 0.2541  7 Zn 2.63-2.70
Zn8 0.3608 0.2500 0.3602  6 Zn 2.66-2.91
Zn9 0.4104 0.7500 0.0217  6 Zn 2.64-2.91
Zn10 0.4326 0.2500 0.5980  5 Zn 2.66-2.73
Zn11 0.4333 0.5146 0.8107  8 Zn 2.58-2.88
Zn12 0.4333 0.9854 0.8107  8 Zn 2.58-2.88
Zn13 0.5667 0.0146 0.1893  8 Zn 2.58-2.88
Zn14 0.5667 0.4854 0.1893  8 Zn 2.58-2.88
Zn15 0.5674 0.7500 0.4020  5 Zn 2.66-2.73
Zn16 0.5896 0.2500 0.9783  6 Zn 2.64-2.91
Zn17 0.6392 0.7500 0.6398  6 Zn 2.66-2.91
Zn18 0.6868 0.2500 0.7459  7 Zn 2.63-2.70
Zn19 0.8132 0.7500 0.2459  7 Zn 2.63-2.70
Zn20 0.8608 0.2500 0.1398  6 Zn 2.66-2.91
Zn21 0.9104 0.7500 0.4783  6 Zn 2.64-2.91
Zn22 0.9326 0.2500 0.9020  5 Zn 2.66-2.73
Zn23 0.9333 0.5146 0.6893  8 Zn 2.58-2.88
Zn24 0.9333 0.9854 0.6893  8 Zn 2.58-2.88